No. 1
The following is a GGA-PBE calculation of SrTmTlSn after structural relaxation, from Alexandria via LeMat-Bulk.

Values from the calculation:
DOS(E_F) = 2.41 states/eV/cell
Space group = F-43m, No. 216
Formation enthalpy at 0 K = -1.59 eV per formula unit
M_tot = 0.000 μB per atom

Cell lengths 5.5171, 5.5171, 5.5171 Å; angles 60.00, 60.00, 60.00 degrees
With the nearest neighbours (Å) after each atom.
Element x y z (fractional)
Sr (0.5000, 0.5000, 0.5000)  4 Sn 3.38, 4 Tl 3.38
Sn (0.7500, 0.7500, 0.7500)  4 Tm 3.38, 4 Sr 3.38
Tm (0.0000, 0.0000, 0.0000)  4 Tl 3.38, 4 Sn 3.38
Tl (0.2500, 0.2500, 0.2500)  4 Tm 3.38, 4 Sr 3.38

***

No. 2
The following is a GGA-PBE calculation of Ca2ZrTiN4 after structural relaxation, from Alexandria via LeMat-Bulk.

Values from the calculation:
DOS(E_F) = 0.15 states/eV/cell
Space group = P2/m, No. 10
M_tot = 0.000 μB per atom
Energy relative to the elements, uncorrected = -1.40 eV/atom

Cell lengths 3.2470, 5.6039, 5.8633 Å; angles 108.54, 90.00, 90.00 degrees
With the nearest neighbours (Å) after each atom.
Element x y z (fractional)
N (0.0000, 0.7474, 0.2131)  1 Ti 2.17, 2 Zr 2.24
N (0.0000, 0.2526, 0.7869)  1 Ti 2.17, 2 Zr 2.24
N (0.5000, 0.7723, 0.7906)  2 Ti 2.19, 1 Zr 2.24, 1 Ca 2.43
N (0.5000, 0.2277, 0.2094)  2 Ti 2.19, 1 Zr 2.24, 1 Ca 2.43
Ca (0.0000, 0.5000, 0.5000)  6 N 2.49-2.50
Ca (0.5000, 0.0000, 0.5000)  6 N 2.43-2.44
Zr (0.5000, 0.5000, 0.0000)  6 N 2.24
Ti (0.0000, 0.0000, 0.0000)  6 N 2.17-2.19

***

No. 3
The following is a GGA-PBE calculation of Dy2GaAu after structural relaxation, from Alexandria via LeMat-Bulk.

Values from the calculation:
DOS(E_F) = 2.00 states/eV/cell
Space group = P4/mmm, No. 123
Formation enthalpy at 0 K = -2.87 eV per formula unit
M_tot = 0.000 μB per atom

Cell lengths 3.5462, 3.5462, 7.3812 Å; angles 90.00, 90.00, 90.00 degrees
With the nearest neighbours (Å) after each atom.
Element x y z (fractional)
Ga (0.5000, 0.5000, 0.5000)  8 Dy 3.12
Dy (0.0000, 0.0000, 0.2480)  4 Au 3.10, 4 Ga 3.12
Dy (0.0000, 0.0000, 0.7520)  4 Au 3.10, 4 Ga 3.12
Au (0.5000, 0.5000, 0.0000)  8 Dy 3.10

***

No. 4
The following is a GGA-PBE calculation of Sm2Er2Mg15 after structural relaxation, from Alexandria via LeMat-Bulk.

Values from the calculation:
DOS(E_F) = 13.92 states/eV/cell
Space group = R-3m, No. 166
Formation enthalpy at 0 K = 0.15 eV per formula unit
M_tot = 0.000 μB per atom

Cell lengths 7.9127, 7.9127, 7.9127 Å; angles 82.99, 82.99, 82.99 degrees
With the nearest neighbours (Å) after each atom.
Element x y z (fractional)
Mg (0.0000, 0.7029, 0.2971)  8 Mg 3.00-3.27
Mg (0.6424, 0.1558, 0.6424)  8 Mg 3.01-3.27
Mg (0.0000, 0.2971, 0.7029)  8 Mg 3.00-3.27
Mg (0.0000, 0.0000, 0.5000)  8 Mg 3.00-3.08, 2 Er 3.19
Mg (0.8442, 0.3576, 0.3576)  8 Mg 3.01-3.27
Mg (0.1558, 0.6424, 0.6424)  8 Mg 3.01-3.27
Mg (0.3576, 0.3576, 0.8442)  8 Mg 3.01-3.27
Mg (0.5000, 0.0000, 0.0000)  8 Mg 3.00-3.08, 2 Er 3.19
Mg (0.0000, 0.5000, 0.0000)  8 Mg 3.00-3.08, 2 Er 3.19
Mg (0.7029, 0.2971, 0.0000)  8 Mg 3.00-3.27
Mg (0.6424, 0.6424, 0.1558)  8 Mg 3.01-3.27
Mg (0.3576, 0.8442, 0.3576)  8 Mg 3.01-3.27
Mg (0.7029, 0.0000, 0.2971)  8 Mg 3.00-3.27
Mg (0.2971, 0.0000, 0.7029)  8 Mg 3.00-3.27
Mg (0.2971, 0.7029, 0.0000)  8 Mg 3.00-3.27
Sm (0.6701, 0.6701, 0.6701)  1 Er 3.51, 15 Mg 3.70-3.92
Sm (0.3299, 0.3299, 0.3299)  1 Er 3.51, 15 Mg 3.70-3.92
Er (0.8994, 0.8994, 0.8994)  1 Er 3.08, 6 Mg 3.19-3.37
Er (0.1006, 0.1006, 0.1006)  1 Er 3.08, 6 Mg 3.19-3.37

***

No. 5
The following is a GGA-PBE calculation of Li2Ge5Pd3 after structural relaxation, from Alexandria via LeMat-Bulk.

Values from the calculation:
DOS(E_F) = 8.82 states/eV/cell
Space group = Ibam, No. 72
Formation enthalpy at 0 K = -2.93 eV per formula unit
E above lowest polymorph = 68 meV per atom
M_tot = 0.000 μB per atom

Cell lengths 5.8581, 8.4555, 8.4555 Å; angles 83.56, 69.73, 69.73 degrees
With the nearest neighbours (Å) after each atom.
Element x y z (fractional)
Li (0.3685, 0.8803, 0.3827)  4 Ge 2.93-3.15, 4 Pd 2.98-3.20
Li (0.1315, 0.6173, 0.1197)  4 Ge 2.93-3.15, 4 Pd 2.98-3.20
Li (0.8685, 0.3827, 0.8803)  4 Ge 2.93-3.15, 4 Pd 2.98-3.20
Li (0.6315, 0.1197, 0.6173)  4 Ge 2.93-3.15, 4 Pd 2.98-3.20
Ge (0.5110, 0.2390, 0.2390)  3 Pd 2.56-2.67, 2 Ge 2.67
Ge (0.7500, 0.5000, 0.5000)  4 Pd 2.55
Ge (0.3896, 0.2617, 0.9591)  3 Pd 2.43-2.56, 2 Ge 2.67
Ge (0.0110, 0.2390, 0.2390)  3 Pd 2.56-2.67, 2 Ge 2.67
Ge (0.6104, 0.7383, 0.0409)  3 Pd 2.43-2.56, 2 Ge 2.67
Ge (0.9890, 0.7610, 0.7610)  3 Pd 2.56-2.67, 2 Ge 2.67
Ge (0.2500, 0.5000, 0.5000)  4 Pd 2.55
Ge (0.1104, 0.0409, 0.7383)  3 Pd 2.43-2.56, 2 Ge 2.67
Ge (0.4890, 0.7610, 0.7610)  3 Pd 2.56-2.67, 2 Ge 2.67
Ge (0.8896, 0.9591, 0.2617)  3 Pd 2.43-2.56, 2 Ge 2.67
Pd (0.7500, 0.0000, 0.0000)  6 Ge 2.56-2.67
Pd (0.6294, 0.5042, 0.2371)  5 Ge 2.43-2.56
Pd (0.8706, 0.7629, 0.4958)  5 Ge 2.43-2.56
Pd (0.2500, 0.0000, 0.0000)  6 Ge 2.56-2.67
Pd (0.1294, 0.2371, 0.5042)  5 Ge 2.43-2.56
Pd (0.3706, 0.4958, 0.7629)  5 Ge 2.43-2.56

***

No. 6
The following is a GGA-PBE calculation of Y2CrFe after structural relaxation, from Alexandria via LeMat-Bulk.

Values from the calculation:
DOS(E_F) = 5.15 states/eV/cell
Space group = R-3m, No. 166
Formation enthalpy at 0 K = 2.43 eV per formula unit
E above lowest polymorph = 533 meV per atom
M_tot = 0.615 μB per atom

Cell lengths 9.1716, 9.1716, 9.1716 Å; angles 21.37, 21.37, 21.37 degrees
With the nearest neighbours (Å) after each atom.
Element x y z (fractional)
Y (0.4902, 0.4902, 0.4902)  3 Fe 2.79
Y (0.0098, 0.0098, 0.0098)  3 Fe 2.79
Cr (0.2500, 0.2500, 0.2500)  6 Y 3.18, 6 Cr 3.40
Fe (0.7500, 0.7500, 0.7500)  6 Y 2.79